[1]
# TiZnFeIr (PBE-GGA, relaxed)
data_TiZnFeIr
_chemical_formula_sum 'Ti1 Zn1 Fe1 Ir1'
_cell_length_a 4.2527
_cell_length_b 4.2527
_cell_length_c 4.2527
_cell_angle_alpha 60.00
_cell_angle_beta 60.00
_cell_angle_gamma 60.00
_space_group_name_H-M_alt 'P 1'
_space_group_IT_number 1
loop_
_space_group_symop_operation_xyz
'x,y,z'
loop_
_atom_site_label
_atom_site_type_symbol
_atom_site_fract_x
_atom_site_fract_y
_atom_site_fract_z
Ti1 Ti 0.0000 0.0000 0.0000
Zn1 Zn 0.5000 0.5000 0.5000
Fe1 Fe 0.7500 0.7500 0.7500
Ir1 Ir 0.2500 0.2500 0.2500
# **Total energy**: -7.02 eV/atom
# **Symmetry**: No. 216

[2]
# PuIBr6 (PBE-GGA, relaxed)
data_PuIBr6
_chemical_formula_sum 'Pu1 I1 Br6'
_cell_length_a 7.2731
_cell_length_b 7.2731
_cell_length_c 8.8296
_cell_angle_alpha 101.84
_cell_angle_beta 101.84
_cell_angle_gamma 116.68
_space_group_name_H-M_alt 'P 1'
_space_group_IT_number 1
loop_
_space_group_symop_operation_xyz
'x,y,z'
loop_
_atom_site_label
_atom_site_type_symbol
_atom_site_fract_x
_atom_site_fract_y
_atom_site_fract_z
Pu1 Pu 0.0000 0.0000 0.0000
I1 I 0.5000 0.5000 0.5000
Br1 Br 0.1132 0.8107 0.1972
Br2 Br 0.1893 0.8868 0.8028
Br3 Br 0.4045 0.4045 0.1695
Br4 Br 0.5955 0.5955 0.8305
Br5 Br 0.8107 0.1132 0.1972
Br6 Br 0.8868 0.1893 0.8028
# **Symmetry**: No. 12
# **Uncorrected formation energy**: -17.93 kcal/mol of atoms

[3]
# Pr5ZrSn5 (PBE-GGA, relaxed)
data_Pr5ZrSn5
_chemical_formula_sum 'Pr5 Zr1 Sn5'
_cell_length_a 7.9392
_cell_length_b 7.9392
_cell_length_c 8.5025
_cell_angle_alpha 106.50
_cell_angle_beta 106.50
_cell_angle_gamma 46.72
_space_group_name_H-M_alt 'P 1'
_space_group_IT_number 1
loop_
_space_group_symop_operation_xyz
'x,y,z'
loop_
_atom_site_label
_atom_site_type_symbol
_atom_site_fract_x
_atom_site_fract_y
_atom_site_fract_z
Pr1 Pr 0.0000 0.0000 0.0000
Pr2 Pr 0.3235 0.3235 0.1703
Pr3 Pr 0.3397 0.3397 0.6790
Pr4 Pr 0.6603 0.6603 0.3210
Pr5 Pr 0.6765 0.6765 0.8297
Zr1 Zr 0.0000 0.0000 0.5000
Sn1 Sn 0.1584 0.1584 0.3501
Sn2 Sn 0.1583 0.1583 0.8196
Sn3 Sn 0.5000 0.5000 0.5000
Sn4 Sn 0.8417 0.8417 0.1804
Sn5 Sn 0.8416 0.8416 0.6499
# **Total energy**: -5.22 eV/atom
# **Symmetry**: No. 12

[4]
# Sr20P12BrCl3O48 (PBE-GGA, relaxed)
data_Sr20P12BrCl3O48
_chemical_formula_sum 'Sr20 P12 Br1 Cl3 O48'
_cell_length_a 10.0560
_cell_length_b 10.0560
_cell_length_c 14.4932
_cell_angle_alpha 90.00
_cell_angle_beta 90.00
_cell_angle_gamma 120.00
_space_group_name_H-M_alt 'P 1'
_space_group_IT_number 1
loop_
_space_group_symop_operation_xyz
'x,y,z'
loop_
_atom_site_label
_atom_site_type_symbol
_atom_site_fract_x
_atom_site_fract_y
_atom_site_fract_z
Sr1 Sr 0.0025 0.7475 0.3752
Sr2 Sr 0.0042 0.7446 0.8730
Sr3 Sr 0.2525 0.2550 0.3752
Sr4 Sr 0.2550 0.0025 0.6248
Sr5 Sr 0.2554 0.2596 0.8730
Sr6 Sr 0.2596 0.0042 0.1270
Sr7 Sr 0.3333 0.6667 0.9998
Sr8 Sr 0.3333 0.6667 0.2515
Sr9 Sr 0.3333 0.6667 0.4992
Sr10 Sr 0.3333 0.6667 0.7503
Sr11 Sr 0.6667 0.3333 0.0002
Sr12 Sr 0.6667 0.3333 0.2497
Sr13 Sr 0.6667 0.3333 0.5008
Sr14 Sr 0.6667 0.3333 0.7485
Sr15 Sr 0.7404 0.9958 0.8730
Sr16 Sr 0.7446 0.7404 0.1270
Sr17 Sr 0.7450 0.9975 0.3752
Sr18 Sr 0.7475 0.7450 0.6248
Sr19 Sr 0.9958 0.2554 0.1270
Sr20 Sr 0.9975 0.2525 0.6248
P1 P 0.0343 0.6269 0.6245
P2 P 0.0345 0.6277 0.1249
P3 P 0.3723 0.4068 0.1249
P4 P 0.3731 0.4074 0.6245
P5 P 0.4074 0.0343 0.3755
P6 P 0.4068 0.0345 0.8751
P7 P 0.5932 0.9655 0.1249
P8 P 0.5926 0.9657 0.6245
P9 P 0.6269 0.5926 0.3755
P10 P 0.6277 0.5932 0.8751
P11 P 0.9655 0.3723 0.8751
P12 P 0.9657 0.3731 0.3755
Br1 Br 0.0000 0.0000 0.0000
Cl1 Cl 0.0000 0.0000 0.2521
Cl2 Cl 0.0000 0.0000 0.5000
Cl3 Cl 0.0000 0.0000 0.7479
O1 O 0.0869 0.7343 0.2111
O2 O 0.0876 0.7320 0.5377
O3 O 0.0890 0.7302 0.0371
O4 O 0.0888 0.7320 0.7114
O5 O 0.1210 0.5340 0.6244
O6 O 0.1221 0.5356 0.1268
O7 O 0.1429 0.4825 0.3750
O8 O 0.1425 0.4829 0.8750
O9 O 0.2657 0.3526 0.2111
O10 O 0.2680 0.3555 0.5377
O11 O 0.2680 0.3568 0.7114
O12 O 0.2698 0.3588 0.0371
O13 O 0.3396 0.8571 0.3750
O14 O 0.3404 0.8575 0.8750
O15 O 0.3526 0.0869 0.7889
O16 O 0.3555 0.0876 0.4623
O17 O 0.3568 0.0888 0.2886
O18 O 0.3588 0.0890 0.9629
O19 O 0.4134 0.8779 0.1268
O20 O 0.4130 0.8790 0.6244
O21 O 0.4644 0.5866 0.1268
O22 O 0.4660 0.5870 0.6244
O23 O 0.4825 0.3396 0.6250
O24 O 0.4829 0.3404 0.1250
O25 O 0.5171 0.6596 0.8750
O26 O 0.5175 0.6604 0.3750
O27 O 0.5340 0.4130 0.3756
O28 O 0.5356 0.4134 0.8732
O29 O 0.5870 0.1210 0.3756
O30 O 0.5866 0.1221 0.8732
O31 O 0.6412 0.9110 0.0371
O32 O 0.6432 0.9112 0.7114
O33 O 0.6445 0.9124 0.5377
O34 O 0.6474 0.9131 0.2111
O35 O 0.6596 0.1425 0.1250
O36 O 0.6604 0.1429 0.6250
O37 O 0.7302 0.6412 0.9629
O38 O 0.7320 0.6432 0.2886
O39 O 0.7320 0.6445 0.4623
O40 O 0.7343 0.6474 0.7889
O41 O 0.8575 0.5171 0.1250
O42 O 0.8571 0.5175 0.6250
O43 O 0.8779 0.4644 0.8732
O44 O 0.8790 0.4660 0.3756
O45 O 0.9112 0.2680 0.2886
O46 O 0.9110 0.2698 0.9629
O47 O 0.9124 0.2680 0.4623
O48 O 0.9131 0.2657 0.7889
# **Symmetry**: No. 147
# **Uncorrected formation energy**: -66.78 kcal/mol of atoms

[5]
# Dy2PuUN4 (PBE-GGA, relaxed)
data_Dy2PuUN4
_chemical_formula_sum 'Dy2 Pu1 U1 N4'
_cell_length_a 5.9915
_cell_length_b 3.4679
_cell_length_c 5.9937
_cell_angle_alpha 90.00
_cell_angle_beta 109.32
_cell_angle_gamma 90.00
_space_group_name_H-M_alt 'P 1'
_space_group_IT_number 1
loop_
_space_group_symop_operation_xyz
'x,y,z'
loop_
_atom_site_label
_atom_site_type_symbol
_atom_site_fract_x
_atom_site_fract_y
_atom_site_fract_z
Dy1 Dy 0.0000 0.0000 0.0000
Dy2 Dy 0.5000 0.5000 0.0000
Pu1 Pu 0.0000 0.5000 0.5000
U1 U 0.5000 0.0000 0.5000
N1 N 0.2584 0.0000 0.7376
N2 N 0.2635 0.5000 0.2618
N3 N 0.7365 0.5000 0.7382
N4 N 0.7416 0.0000 0.2624
# **Symmetry**: No. 10
# **Uncorrected formation energy**: -34.61 kcal/mol of atoms

[6]
# Sr2LaBe (PBE-GGA, relaxed)
data_Sr2LaBe
_chemical_formula_sum 'Sr2 La1 Be1'
_cell_length_a 7.3686
_cell_length_b 7.3686
_cell_length_c 7.3686
_cell_angle_alpha 150.03
_cell_angle_beta 132.59
_cell_angle_gamma 57.10
_space_group_name_H-M_alt 'P 1'
_space_group_IT_number 1
loop_
_space_group_symop_operation_xyz
'x,y,z'
loop_
_atom_site_label
_atom_site_type_symbol
_atom_site_fract_x
_atom_site_fract_y
_atom_site_fract_z
Sr1 Sr 0.0000 0.0000 0.0000
Sr2 Sr 0.6918 0.1918 0.5000
La1 La 0.3192 0.8192 0.5000
Be1 Be 0.4898 0.4898 0.0000
# **Total energy**: -2.67 eV/atom
# **Symmetry**: No. 44

[7]
# La2Tb3Pr2 (PBE-GGA, relaxed)
data_La2Tb3Pr2
_chemical_formula_sum 'La2 Tb3 Pr2'
_cell_length_a 5.7837
_cell_length_b 3.5224
_cell_length_c 12.2894
_cell_angle_alpha 90.00
_cell_angle_beta 103.54
_cell_angle_gamma 90.00
_space_group_name_H-M_alt 'P 1'
_space_group_IT_number 1
loop_
_space_group_symop_operation_xyz
'x,y,z'
loop_
_atom_site_label
_atom_site_type_symbol
_atom_site_fract_x
_atom_site_fract_y
_atom_site_fract_z
La1 La 0.1471 0.0000 0.2937
La2 La 0.8529 0.0000 0.7063
Tb1 Tb 0.0000 0.5000 0.0000
Tb2 Tb 0.2851 0.5000 0.5707
Tb3 Tb 0.7149 0.5000 0.4293
Pr1 Pr 0.4277 0.5000 0.8521
Pr2 Pr 0.5723 0.5000 0.1479
# **ΔE to the lowest computed polymorph**: 93.4 meV/atom
# **Symmetry**: No. 10

[8]
# PbSe2Cl (PBE-GGA, relaxed)
data_PbSe2Cl
_chemical_formula_sum 'Pb1 Se2 Cl1'
_cell_length_a 6.1251
_cell_length_b 6.1251
_cell_length_c 3.6628
_cell_angle_alpha 90.00
_cell_angle_beta 90.00
_cell_angle_gamma 128.12
_space_group_name_H-M_alt 'P 1'
_space_group_IT_number 1
loop_
_space_group_symop_operation_xyz
'x,y,z'
loop_
_atom_site_label
_atom_site_type_symbol
_atom_site_fract_x
_atom_site_fract_y
_atom_site_fract_z
Pb1 Pb 0.0000 0.0000 0.0000
Se1 Se 0.0000 0.5000 0.5000
Se2 Se 0.5000 0.0000 0.5000
Cl1 Cl 0.5000 0.5000 0.0000
# **ΔE to the lowest computed polymorph**: 352.6 meV/atom
# **Symmetry**: No. 65
# **Uncorrected formation energy**: -1.66 kcal/mol of atoms

[9]
# Li2PuBO6 (PBE-GGA, relaxed)
data_Li2PuBO6
_chemical_formula_sum 'Li2 Pu1 B1 O6'
_cell_length_a 5.3418
_cell_length_b 5.3418
_cell_length_c 4.8215
_cell_angle_alpha 108.79
_cell_angle_beta 108.79
_cell_angle_gamma 56.87
_space_group_name_H-M_alt 'P 1'
_space_group_IT_number 1
loop_
_space_group_symop_operation_xyz
'x,y,z'
loop_
_atom_site_label
_atom_site_type_symbol
_atom_site_fract_x
_atom_site_fract_y
_atom_site_fract_z
Li1 Li 0.2391 0.2391 0.1386
Li2 Li 0.7609 0.7609 0.8614
Pu1 Pu 0.0000 0.0000 0.5000
B1 B 0.5000 0.5000 0.0000
O1 O 0.1970 0.1970 0.5131
O2 O 0.2126 0.6420 0.1381
O3 O 0.3580 0.7874 0.8619
O4 O 0.6420 0.2126 0.1381
O5 O 0.7874 0.3580 0.8619
O6 O 0.8030 0.8030 0.4869
# **Symmetry**: No. 12
# **Uncorrected formation energy**: -44.93 kcal/mol of atoms

[10]
# RbHgSe2N (PBE-GGA, relaxed)
data_RbHgSe2N
_chemical_formula_sum 'Rb1 Hg1 Se2 N1'
_cell_length_a 5.5995
_cell_length_b 5.5995
_cell_length_c 4.4141
_cell_angle_alpha 90.00
_cell_angle_beta 90.00
_cell_angle_gamma 90.00
_space_group_name_H-M_alt 'P 1'
_space_group_IT_number 1
loop_
_space_group_symop_operation_xyz
'x,y,z'
loop_
_atom_site_label
_atom_site_type_symbol
_atom_site_fract_x
_atom_site_fract_y
_atom_site_fract_z
Rb1 Rb 0.0000 0.0000 0.0000
Hg1 Hg 0.5000 0.5000 0.5000
Se1 Se 0.0000 0.5000 0.5000
Se2 Se 0.5000 0.0000 0.5000
N1 N 0.5000 0.5000 0.0000
# **ΔE to the lowest computed polymorph**: 0.0 meV/atom
# **Symmetry**: No. 123
# **Uncorrected formation energy**: 15.06 kcal/mol of atoms

[11]
# DyY5Tm2Th (PBE-GGA, relaxed)
data_DyY5Tm2Th
_chemical_formula_sum 'Dy2 Y10 Tm4 Th2'
_cell_length_a 11.0211
_cell_length_b 11.0211
_cell_length_c 9.6977
_cell_angle_alpha 90.00
_cell_angle_beta 90.00
_cell_angle_gamma 149.94
_space_group_name_H-M_alt 'P 1'
_space_group_IT_number 1
loop_
_space_group_symop_operation_xyz
'x,y,z'
loop_
_atom_site_label
_atom_site_type_symbol
_atom_site_fract_x
_atom_site_fract_y
_atom_site_fract_z
Dy1 Dy 0.0971 0.9029 0.5000
Dy2 Dy 0.9029 0.0971 0.0000
Y1 Y 0.0278 0.9722 0.1826
Y2 Y 0.1104 0.8896 0.8871
Y3 Y 0.1956 0.8044 0.2164
Y4 Y 0.2334 0.7666 0.5922
Y5 Y 0.4860 0.5140 0.9138
Y6 Y 0.5140 0.4860 0.4138
Y7 Y 0.7666 0.2334 0.0922
Y8 Y 0.8044 0.1956 0.7164
Y9 Y 0.8896 0.1104 0.3871
Y10 Y 0.9722 0.0278 0.6826
Tm1 Tm 0.3712 0.6288 0.2156
Tm2 Tm 0.3877 0.6123 0.6047
Tm3 Tm 0.6123 0.3877 0.1047
Tm4 Tm 0.6288 0.3712 0.7156
Th1 Th 0.3123 0.6877 0.9042
Th2 Th 0.6877 0.3123 0.4042
# **Total energy**: -5.76 eV/atom
# **Symmetry**: No. 36

[12]
# Li2BeMo (PBE-GGA, relaxed)
data_Li2BeMo
_chemical_formula_sum 'Li2 Be1 Mo1'
_cell_length_a 9.5594
_cell_length_b 9.5594
_cell_length_c 9.5594
_cell_angle_alpha 15.72
_cell_angle_beta 15.72
_cell_angle_gamma 15.72
_space_group_name_H-M_alt 'P 1'
_space_group_IT_number 1
loop_
_space_group_symop_operation_xyz
'x,y,z'
loop_
_atom_site_label
_atom_site_type_symbol
_atom_site_fract_x
_atom_site_fract_y
_atom_site_fract_z
Li1 Li 0.2453 0.2453 0.2453
Li2 Li 0.7547 0.7547 0.7547
Be1 Be 0.5000 0.5000 0.5000
Mo1 Mo 0.0000 0.0000 0.0000
# **ΔE to the lowest computed polymorph**: 205.3 meV/atom
# **Symmetry**: No. 166

Going through the records in order, we get N(E_F) values of 4.06; 6.20; 8.61; 0.00; 8.58; 5.52; 10.64; 3.40; 2.84; 3.50; 12.71; 2.71 states/eV/f.u..